Mg2GaSi2Ni5: optimized geometry, PBE-GGA.

a b c (Å): 3.1886 9.1120 9.1120
angles (deg): 90.00 90.00 90.00
Atoms (fractional coordinates):
Ni 0.5000 0.9351 0.2056
Si 0.0000 0.6259 0.8741
Ni 0.5000 0.2944 0.5649
Ni 0.5000 0.7944 0.9351
Mg 0.0000 0.6729 0.1729
Ni 0.5000 0.0649 0.7944
Ni 0.5000 0.2056 0.0649
Mg 0.0000 0.1729 0.3271
Ga 0.0000 0.5000 0.5000
Mg 0.0000 0.3271 0.8271
Ni 0.5000 0.4351 0.2944
Mg 0.0000 0.8271 0.6729
Si 0.0000 0.1259 0.6259
Si 0.0000 0.8741 0.3741
Ni 0.5000 0.5649 0.7056
Ga 0.0000 0.0000 0.0000
Ni 0.5000 0.7056 0.4351
Ni 0.5000 0.5000 0.0000
Ni 0.5000 0.0000 0.5000
Si 0.0000 0.3741 0.1259

Summary:
Energy relative to the elements, uncorrected   -9.18 kcal/mol of atoms
Symmetry   P4/mbm
Spin magnetization   0.0 μB per formula unit
Fermi-level density of states   8.74 states/eV/cell

=====

AcU3Tl4O12: optimized geometry, PBE-GGA.

a b c (Å): 7.6953 7.6953 7.6953
angles (deg): 109.47 109.47 109.47
Each line ends with the local moment (μB).
Atoms (fractional coordinates):
O 0.2500 0.5000 0.7500  -0.01
O 0.0000 0.2759 0.2759  -0.01
O 0.2759 0.2759 0.0000  -0.01
Tl 0.5000 0.0000 0.0000  0.00
O 0.7500 0.5000 0.2500  -0.01
O 0.5000 0.2500 0.7500  -0.01
U 0.5000 0.5000 0.0000  0.37
Ac 0.0000 0.0000 0.0000  0.00
O 0.7241 0.0000 0.7241  -0.01
O 0.0000 0.7241 0.7241  -0.01
U 0.0000 0.5000 0.5000  0.37
O 0.5000 0.7500 0.2500  -0.01
O 0.7241 0.7241 0.0000  -0.01
Tl 0.5000 0.5000 0.5000  0.00
U 0.5000 0.0000 0.5000  0.37
Tl 0.0000 0.5000 0.0000  0.00
O 0.7500 0.2500 0.5000  -0.01
O 0.2759 0.0000 0.2759  -0.01
Tl 0.0000 0.0000 0.5000  0.00
O 0.2500 0.7500 0.5000  -0.01

Summary:
Energy relative to the elements, uncorrected   -57.63 kcal/mol of atoms
Symmetry   Im-3m
Spin magnetization   1.0 μB per formula unit
Fermi-level density of states   8.00 states/eV/cell

=====

KTa2Rh: optimized geometry, PBE-GGA.

a b c (Å): 11.1010 11.1010 11.1010
angles (deg): 15.18 15.18 15.18
Atoms (fractional coordinates):
Ta 0.4836 0.4836 0.4836
Rh 0.7500 0.7500 0.7500
Ta 0.0164 0.0164 0.0164
K 0.2500 0.2500 0.2500

Summary:
Relative energy among the computed polymorphs   0.246 eV per atom
Symmetry   R-3m
Spin magnetization   0.0 μB per formula unit
Formation energy from the elements   542.1 meV per atom
Fermi-level density of states   3.16 states/eV/cell

=====

LaZnSnRh3: optimized geometry, PBE-GGA.

a b c (Å): 6.3467 6.0960 6.8702
angles (deg): 116.34 90.00 90.00
Atoms (fractional coordinates):
La 0.2500 0.6813 0.3625
Rh 0.7500 0.8499 0.6998
Sn 0.7500 0.6383 0.2766
Sn 0.2500 0.3617 0.7234
Rh 0.0000 0.2702 0.0000
Rh 0.0000 0.7298 0.0000
La 0.7500 0.3187 0.6375
Rh 0.5000 0.7298 0.0000
Zn 0.7500 0.0753 0.1506
Rh 0.5000 0.2702 0.0000
Rh 0.2500 0.1501 0.3002
Zn 0.2500 0.9247 0.8494

Summary:
Symmetry   Cmcm
Spin magnetization   0.0 μB per formula unit
Formation energy from the elements   -387.9 meV per atom
Fermi-level density of states   8.56 states/eV/cell